# 1
10
Lattice="4.001 0.000 0.000 0.000 4.001 0.000 0.000 0.000 20.402" Properties=species:S:1:pos:R:3 comment="Sr4ErTl5, optimized geometry, DFT PBE" magmom_total_mub_per_fu=0.0 space_group="P4/mmm, No. 123" volume_a3_per_cell=326.6 e_form_ev_per_atom=-0.3959 dos_at_fermi_per_ev_atom=0.681 pbc="T T T"
Sr 0.000 0.000 2.099
Sr 0.000 0.000 6.294
Sr 0.000 0.000 14.108
Sr 0.000 0.000 18.302
Er 0.000 0.000 10.201
Tl 2.001 2.001 0.000
Tl 2.001 2.001 4.172
Tl 2.001 2.001 8.459
Tl 2.001 2.001 11.943
Tl 2.001 2.001 16.230

# 2
12
Lattice="-2.723 3.762 8.152 2.723 -3.762 8.152 2.723 3.762 -8.152" Properties=species:S:1:pos:R:3 comment="SrEr5Tl6, optimized geometry, DFT PBE" magmom_total_mub_per_fu=0.0 space_group="Immm, No. 71" volume_a3_per_cell=334.0 e_form_ev_per_atom=-0.3054 dos_at_fermi_per_ev_atom=0.763 pbc="T T T"
Sr 0.000 0.000 0.000
Er 2.723 0.000 2.645
Er 0.000 0.000 5.408
Er 0.000 3.762 0.000
Er 0.000 0.000 10.895
Er 0.000 3.762 5.507
Tl 2.723 -1.827 5.369
Tl 2.723 1.987 0.000
Tl 0.000 1.935 2.783
Tl 2.723 1.827 5.369
Tl 0.000 1.776 8.152
Tl 0.000 5.589 2.783

# 3
16
Lattice="4.966 0.000 0.000 0.000 4.966 0.000 0.000 0.000 19.489" Properties=species:S:1:pos:R:3 comment="Sr3ErTl12, optimized geometry, DFT PBE" magmom_total_mub_per_fu=0.0 space_group="P4/mmm, No. 123" volume_a3_per_cell=480.6 e_form_ev_per_atom=-0.2346 dos_at_fermi_per_ev_atom=0.644 pbc="T T T"
Sr 0.000 0.000 0.000
Sr 0.000 0.000 5.032
Sr 0.000 0.000 14.456
Er 0.000 0.000 9.744
Tl 0.000 2.483 2.500
Tl 0.000 2.483 7.478
Tl 0.000 2.483 12.010
Tl 0.000 2.483 16.988
Tl 2.483 0.000 2.500
Tl 2.483 0.000 7.478
Tl 2.483 0.000 12.010
Tl 2.483 0.000 16.988
Tl 2.483 2.483 0.000
Tl 2.483 2.483 4.898
Tl 2.483 2.483 9.744
Tl 2.483 2.483 14.591

# 4
12
Lattice="9.203 -2.554 0.000 9.203 2.554 0.000 -4.707 0.000 8.468" Properties=species:S:1:pos:R:3 comment="SrEr3Tl2, optimized geometry, DFT PBE" magmom_total_mub_per_fu=0.0 space_group="C2/m, No. 12" volume_a3_per_cell=398.1 e_form_ev_per_atom=-0.1265 dos_at_fermi_per_ev_atom=1.297 pbc="T T T"
Sr 2.342 0.000 0.588
Sr 11.356 0.000 7.880
Er -1.008 0.000 3.215
Er 3.069 0.000 4.964
Er 5.868 0.000 2.790
Er 7.831 0.000 5.679
Er 10.629 0.000 3.505
Er 14.706 0.000 5.253
Tl 0.270 0.000 6.148
Tl 5.172 0.000 7.181
Tl 8.526 0.000 1.287
Tl 13.429 0.000 2.320